Material: ThMgN2
Method: DFT, GGA-PBE
State: optimized geometry

Unit cell a=6.1290 b=6.1290 c=6.1290 alpha=33.73 beta=33.73 gamma=33.73
Atoms (fractional coordinates):
Th 0.0000 0.0000 0.0000
Mg 0.8210 0.8210 0.8210
N 0.4159 0.4159 0.4159
N 0.5936 0.5936 0.5936

Output
Its raw formation energy is -923 meV per atom. The calculated density comes out at 7.47 g/cm3. As for the density of states at the Fermi level: 0.0 states/eV/f.u.